VASP calculation (GGA-PBEsol) on a geometry-optimized Ba4Y2Cu6O13 structure.

Results
ΔE_f (raw) (kJ/mol of formula units): -4556
Offset from the most stable computed form (meV per atom): 0
VASP energy (eV/atom): -6.548

abc: 3.858 7.619 11.638
angles: 90.00 90.00 90.00
Atoms (fractional coordinates):
Ba1 0.000 0.244 0.188
Ba2 0.000 0.244 0.812
Ba3 0.000 0.756 0.188
Ba4 0.000 0.756 0.812
Y1 0.000 0.251 0.500
Y2 0.000 0.749 0.500
Cu1 0.500 0.000 0.000
Cu2 0.500 0.000 0.359
Cu3 0.500 0.000 0.641
Cu4 0.500 0.500 0.000
Cu5 0.500 0.500 0.359
Cu6 0.500 0.500 0.641
O1 0.000 0.000 0.000
O2 0.000 0.000 0.378
O3 0.000 0.000 0.622
O4 0.000 0.500 0.378
O5 0.000 0.500 0.622
O6 0.500 0.000 0.161
O7 0.500 0.000 0.839
O8 0.500 0.250 0.379
O9 0.500 0.250 0.621
O10 0.500 0.500 0.152
O11 0.500 0.500 0.848
O12 0.500 0.750 0.379
O13 0.500 0.750 0.621

***

VASP calculation (GGA-PBEsol) on a geometry-optimized Mg2TcSe structure.

Results
ΔE_f (raw) (kJ/mol of formula units): -2
VASP energy (eV/atom): -4.643

abc: 3.439 3.439 5.599
angles: 90.00 90.00 90.00
Atoms (fractional coordinates):
Mg1 0.000 0.000 0.238
Mg2 0.000 0.000 0.762
Tc1 0.500 0.500 0.000
Se1 0.500 0.500 0.500

***

VASP calculation (GGA-PBEsol) on a geometry-optimized TlAg structure.

Results
VASP energy (eV/atom): -2.787
Formation energy from the elements (eV per atom): 0.183

abc: 3.866 3.866 6.295
angles: 90.00 90.00 90.00
Atoms (fractional coordinates):
Tl1 0.250 0.250 0.136
Tl2 0.750 0.750 0.864
Ag1 0.250 0.750 0.500
Ag2 0.750 0.250 0.500

***

VASP calculation (GGA-PBEsol) on a geometry-optimized InPbW structure.

Results
VASP energy (eV/atom): -5.350
Formation energy from the elements (eV per atom): 1.580

abc: 4.711 4.711 4.711
angles: 60.00 60.00 60.00
Atoms (fractional coordinates):
In1 0.000 0.000 0.000
Pb1 0.750 0.750 0.750
W1 0.250 0.250 0.250

***

VASP calculation (GGA-PBEsol) on a geometry-optimized HgTeCl2 structure.

Results
ΔE_f (raw) (kJ/mol of formula units): 79
Offset from the most stable computed form (meV per atom): 281
VASP energy (eV/atom): -1.823

abc: 5.073 5.073 5.073
angles: 60.00 60.00 60.00
Atoms (fractional coordinates):
Hg1 0.000 0.000 0.000
Te1 0.500 0.500 0.500
Cl1 0.250 0.250 0.250
Cl2 0.750 0.750 0.750

***

VASP calculation (GGA-PBEsol) on a geometry-optimized TiCNF2 structure.

Results
ΔE_f (raw) (kJ/mol of formula units): -235
VASP energy (eV/atom): -6.556

abc: 4.475 4.475 2.464
angles: 90.00 90.00 90.00
Atoms (fractional coordinates):
Ti1 0.000 0.000 0.000
C1 0.500 0.500 0.500
N1 0.500 0.500 0.000
F1 0.000 0.500 0.500
F2 0.500 0.000 0.500

***

VASP calculation (GGA-PBEsol) on a geometry-optimized K2SiW structure.

Results
ΔE_f (raw) (kJ/mol of formula units): 455
VASP energy (eV/atom): -4.275

abc: 11.932 11.932 11.932
angles: 13.84 13.84 13.84
Atoms (fractional coordinates):
K1 0.247 0.247 0.247
K2 0.753 0.753 0.753
Si1 0.500 0.500 0.500
W1 0.000 0.000 0.000

***

VASP calculation (GGA-PBEsol) on a geometry-optimized InTcTe2 structure.

Results
ΔE_f (raw) (kJ/mol of formula units): 133
VASP energy (eV/atom): -4.980

abc: 3.159 3.159 10.313
angles: 90.00 90.00 116.34
Atoms (fractional coordinates):
In1 0.000 0.000 0.000
Tc1 0.000 0.000 0.500
Te1 0.500 0.500 0.297
Te2 0.500 0.500 0.703

***

VASP calculation (GGA-PBEsol) on a geometry-optimized WBrCl2 structure.

Results
ΔE_f (raw) (kJ/mol of formula units): -138
Offset from the most stable computed form (meV per atom): 0
VASP energy (eV/atom): -5.282

abc: 6.785 6.785 3.135
angles: 90.00 90.00 137.30
Atoms (fractional coordinates):
W1 0.000 0.000 0.000
Br1 0.500 0.500 0.000
Cl1 0.146 0.854 0.500
Cl2 0.854 0.146 0.500

***

VASP calculation (GGA-PBEsol) on a geometry-optimized La2MnCd structure.

Results
VASP energy (eV/atom): -5.309
Formation energy from the elements (eV per atom): 0.103

abc: 5.383 5.383 3.667
angles: 90.00 90.00 90.00
Atoms (fractional coordinates):
La1 0.000 0.500 0.000
La2 0.500 0.000 0.000
Mn1 0.000 0.000 0.500
Cd1 0.500 0.500 0.500

***

VASP calculation (GGA-PBEsol) on a geometry-optimized Sr2BeAg structure.

Results
VASP energy (eV/atom): -2.719
Formation energy from the elements (eV per atom): 0.029

abc: 8.289 8.289 8.289
angles: 29.90 29.90 29.90
Atoms (fractional coordinates):
Sr1 0.000 0.000 0.000
Sr2 0.175 0.175 0.175
Be1 0.755 0.755 0.755
Ag1 0.421 0.421 0.421

***

VASP calculation (GGA-PBEsol) on a geometry-optimized CaNi2As2 structure.

Results
VASP energy (eV/atom): -5.460
Formation energy from the elements (eV per atom): -0.527

abc: 5.378 5.378 5.378
angles: 132.78 132.78 69.01
Atoms (fractional coordinates):
Ca1 0.000 0.000 0.000
Ni1 0.362 0.362 0.000
Ni2 0.638 0.638 0.000
As1 0.250 0.750 0.500
As2 0.750 0.250 0.500